(1)
Zn12CdAu6 | PBE | relaxed

SG: R-3 (148)
ΔE to the lowest computed polymorph: 0 meV/atom
ΔE_f: -2.95 kcal/mol of atoms

Lattice parameters (Å, degrees): 6.852 6.852 6.852 88.72 88.72 88.72
Element x y z (fractional)
Zn  0.105  0.393  0.128
Zn  0.128  0.105  0.393
Zn  0.204  0.573  0.465
Zn  0.393  0.128  0.105
Zn  0.427  0.535  0.796
Zn  0.465  0.204  0.573
Zn  0.535  0.796  0.427
Zn  0.573  0.465  0.204
Zn  0.607  0.872  0.895
Zn  0.796  0.427  0.535
Zn  0.872  0.895  0.607
Zn  0.895  0.607  0.872
Cd  0.000  0.000  0.000
Au  0.118  0.308  0.736
Au  0.264  0.882  0.692
Au  0.308  0.736  0.118
Au  0.692  0.264  0.882
Au  0.736  0.118  0.308
Au  0.882  0.692  0.264

---

(2)
Zn2Cd7Au2 | PBE | relaxed

SG: C2/m (12)
ΔE_f: -1.41 kcal/mol of atoms

Lattice parameters (Å, degrees): 5.725 5.725 7.286 102.68 102.68 95.87
Element x y z (fractional)
Zn  0.204  0.796  0.000
Zn  0.796  0.204  0.000
Cd  0.009  0.388  0.673
Cd  0.328  0.328  0.044
Cd  0.388  0.009  0.673
Cd  0.500  0.500  0.500
Cd  0.612  0.991  0.327
Cd  0.672  0.672  0.956
Cd  0.991  0.612  0.327
Au  0.112  0.112  0.304
Au  0.888  0.888  0.696

---

(3)
ZnCd2Au7 | PBE | relaxed

SG: Fm-3m (225)
ΔE_f: 9.89 kcal/mol of atoms

Lattice parameters (Å, degrees): 7.065 7.065 7.065 60.00 60.00 60.00
Element x y z (fractional)
Zn  0.000  0.000  0.000
Cd  0.250  0.250  0.250
Cd  0.750  0.750  0.750
Au  0.241  0.241  0.759
Au  0.241  0.759  0.241
Au  0.241  0.759  0.759
Au  0.500  0.500  0.500
Au  0.759  0.241  0.241
Au  0.759  0.241  0.759
Au  0.759  0.759  0.241

---

(4)
ZnCdAu2 | PBE | relaxed

SG: Imm2 (44)
ΔE_f: -3.69 kcal/mol of atoms

Lattice parameters (Å, degrees): 3.976 4.135 8.705 90.00 90.00 90.00
Element x y z (fractional)
Zn  0.000  0.000  0.000
Zn  0.500  0.500  0.500
Cd  0.000  0.500  0.248
Cd  0.500  0.000  0.748
Au  0.000  0.000  0.492
Au  0.000  0.500  0.738
Au  0.500  0.000  0.238
Au  0.500  0.500  0.992

---

(5)
ZnCd3Au12 | PBE | relaxed

SG: P4/mmm (123)
ΔE_f: -2.63 kcal/mol of atoms

Lattice parameters (Å, degrees): 4.206 4.206 16.509 90.00 90.00 90.00
Element x y z (fractional)
Zn  0.000  0.000  0.000
Cd  0.000  0.000  0.246
Cd  0.000  0.000  0.500
Cd  0.000  0.000  0.754
Au  0.000  0.500  0.118
Au  0.000  0.500  0.373
Au  0.000  0.500  0.627
Au  0.000  0.500  0.882
Au  0.500  0.000  0.118
Au  0.500  0.000  0.373
Au  0.500  0.000  0.627
Au  0.500  0.000  0.882
Au  0.500  0.500  0.000
Au  0.500  0.500  0.244
Au  0.500  0.500  0.500
Au  0.500  0.500  0.756

---

(6)
ZnCd2Au | PBE | relaxed

SG: P4/mmm (123)
ΔE_f: -1.24 kcal/mol of atoms

Lattice parameters (Å, degrees): 4.249 4.249 4.224 90.00 90.00 90.00
Element x y z (fractional)
Zn  0.000  0.000  0.000
Cd  0.000  0.500  0.500
Cd  0.500  0.000  0.500
Au  0.500  0.500  0.000